Entry 1:
Entry from Alexandria: a relaxed structure of SrGaAu3 (PBE).

abc: 4.8367 4.8375 5.9565
angles: 67.51 67.52 93.58
Fractional positions:
Au: 0.1385 0.4409 0.4282
Au: 0.7916 0.5963 0.1232
Au: 0.6387 0.9432 0.4282
Sr: 0.3960 0.1997 0.9126
Ga: 0.0429 0.8451 0.6189

Properties
SG ... No. 8
N(E_F) ... 1.728 states/eV/f.u.
Relative energy among the computed polymorphs ... 0 meV per atom
ΔE_f ... -0.554 eV/atom
Final energy ... -17.3 eV/cell
Crystal system ... monoclinic

---

Entry 2:
Entry from Alexandria: a relaxed structure of Sr2Ga3Au9 (PBE).

abc: 8.0816 8.0816 11.1522
angles: 89.93 111.22 120.15
Fractional positions:
Au: 0.8863 0.1363 0.7500
Au: 0.7928 0.3016 0.9373
Au: 0.8816 0.0191 0.0690
Au: 0.8644 0.8555 0.5627
Au: 0.6739 0.7056 0.7569
Au: 0.4501 0.8125 0.4310
Au: 0.5386 0.3458 0.0672
Au: 0.4614 0.6542 0.9328
Au: 0.2072 0.6984 0.0627
Au: 0.5499 0.1875 0.5690
Au: 0.2214 0.5286 0.5672
Au: 0.1356 0.1445 0.4373
Au: 0.7786 0.4714 0.4328
Au: 0.5514 0.0830 0.2569
Au: 0.3261 0.2944 0.2431
Au: 0.1184 0.9809 0.9310
Au: 0.4486 0.9170 0.7431
Au: 0.1137 0.8637 0.2500
Sr: 0.3377 0.2505 0.7515
Sr: 0.0010 0.4138 0.2515
Sr: 0.6623 0.7495 0.2485
Sr: 0.9990 0.5862 0.7485
Ga: 0.1770 0.3541 0.9968
Ga: 0.1427 0.8198 0.4968
Ga: 0.8573 0.1802 0.5032
Ga: 0.5000 0.0000 0.0000
Ga: 0.8230 0.6459 0.0032
Ga: 0.5000 0.5000 0.5000

Properties
SG ... No. 15
N(E_F) ... 4.558 states/eV/f.u.
ΔE_f ... -0.445 eV/atom
Final energy ... -96.3 eV/cell
Crystal system ... monoclinic

---

Entry 3:
Entry from Alexandria: a relaxed structure of Sr2GaAu3 (PBE).

abc: 6.2198 6.2198 9.3994
angles: 112.18 112.18 81.89
Fractional positions:
Au: 0.3490 0.3490 0.1732
Au: 0.1758 0.1758 0.8268
Au: 0.1735 0.1735 0.3469
Au: 0.6510 0.6510 0.8268
Au: 0.8242 0.8242 0.1732
Au: 0.8265 0.8265 0.6531
Ga: 0.6670 0.6670 0.3340
Ga: 0.3330 0.3330 0.6660
Sr: 0.2412 0.7588 0.0000
Sr: 0.7500 0.2500 0.5000
Sr: 0.7588 0.2412 0.0000
Sr: 0.2500 0.7500 0.5000

Properties
SG ... No. 69
N(E_F) ... 3.306 states/eV/f.u.
Relative energy among the computed polymorphs ... 11 meV per atom
ΔE_f ... -0.697 eV/atom
Final energy ... -40.8 eV/cell
Crystal system ... orthorhombic

---

Entry 4:
Entry from Alexandria: a relaxed structure of SrGa4Au4 (PBE).

abc: 4.7378 6.3595 7.4678
angles: 68.43 71.51 68.13
Fractional positions:
Ga: 0.6146 0.5016 0.2691
Ga: 0.3854 0.4984 0.7309
Ga: 0.8921 0.7244 0.4914
Ga: 0.1079 0.2756 0.5086
Au: 0.2482 0.3834 0.1201
Au: 0.6351 0.1034 0.6264
Au: 0.3649 0.8966 0.3736
Au: 0.7518 0.6166 0.8799
Sr: 0.0000 0.0000 0.0000

Properties
SG ... No. 12
N(E_F) ... 2.939 states/eV/f.u.
Relative energy among the computed polymorphs ... 24 meV per atom
ΔE_f ... -0.396 eV/atom
Final energy ... -30.5 eV/cell
Crystal system ... monoclinic

---

Entry 5:
Entry from Alexandria: a relaxed structure of Sr2Ga7Au12 (PBE).

abc: 4.4593 10.4727 10.4777
angles: 119.91 89.78 90.31
Fractional positions:
Au: 0.7880 0.2610 0.1335
Au: 0.7967 0.8681 0.1262
Au: 0.7599 0.5502 0.6187
Au: 0.2120 0.7390 0.8665
Au: 0.2410 0.6197 0.0688
Au: 0.7590 0.3803 0.9312
Au: 0.2033 0.1319 0.8738
Au: 0.7627 0.0678 0.4499
Au: 0.7948 0.8718 0.7421
Au: 0.2052 0.1282 0.2580
Au: 0.2401 0.4498 0.3813
Au: 0.2373 0.9322 0.5501
Sr: 0.7618 0.6671 0.3329
Sr: 0.2382 0.3329 0.6671
Ga: 0.2871 0.7141 0.6058
Ga: 0.7129 0.2859 0.3942
Ga: 0.7113 0.1057 0.7144
Ga: 0.2887 0.8943 0.2856
Ga: 0.7173 0.6063 0.8932
Ga: 0.2827 0.3937 0.1068
Ga: 0.5000 0.0000 0.0000

Properties
SG ... No. 2
N(E_F) ... 6.196 states/eV/f.u.
ΔE_f ... -0.375 eV/atom
Final energy ... -71.7 eV/cell
Crystal system ... triclinic

---

Entry 6:
Entry from Alexandria: a relaxed structure of Sr6GaAu3 (PBE).

abc: 4.6649 11.7808 13.9806
angles: 111.66 90.00 90.00
Fractional positions:
Au: 0.2500 0.6473 0.1593
Au: 0.7500 0.3527 0.8407
Au: 0.2500 0.3057 0.4689
Au: 0.7500 0.6943 0.5311
Au: 0.7500 0.0935 0.0322
Au: 0.2500 0.9065 0.9678
Ga: 0.2500 0.9214 0.2859
Ga: 0.7500 0.0786 0.7141
Sr: 0.2500 0.2482 0.6762
Sr: 0.7500 0.8427 0.7986
Sr: 0.2500 0.1541 0.9011
Sr: 0.7500 0.4287 0.0904
Sr: 0.7500 0.8459 0.0989
Sr: 0.7500 0.1076 0.4270
Sr: 0.2500 0.1573 0.2014
Sr: 0.2500 0.8924 0.5730
Sr: 0.2500 0.5713 0.9096
Sr: 0.2500 0.5214 0.3888
Sr: 0.7500 0.4786 0.6112
Sr: 0.7500 0.7518 0.3238

Properties
SG ... No. 11
N(E_F) ... 7.201 states/eV/f.u.
ΔE_f ... -0.522 eV/atom
Final energy ... -56.3 eV/cell
Crystal system ... monoclinic

---

Which of these has the highest N(E_F)?
Sr6GaAu3

---

Which value of ΔE_f does entry 1 give?
-0.554 eV/atom

---

Number 6 is which compound?
Sr6GaAu3